No. 1
Entry from the Alexandria database: an optimized crystal structure of MgInCu (PBEsol).

POSCAR file:
```
MgInCu
1.0
0.0000 2.2038 5.5376
2.1966 0.0000 5.5376
2.1966 2.2038 0.0000
Mg In Cu
1 1 1
Cartesian
0.0000 0.0000 0.0000 Mg
2.1966 2.2038 3.2579 In
2.1966 2.2038 7.1217 Cu
```

No. 2
Entry from the Alexandria database: an optimized crystal structure of MnInCu (PBEsol).

POSCAR file:
```
MnInCu
1.0
2.9948 0.0000 0.0000
-1.4974 2.5936 0.0000
0.0000 0.0000 6.2375
Mn In Cu
1 1 1
Cartesian
0.0000 0.0000 0.0000 Mn
0.0000 1.7290 2.2782 In
1.4974 0.8645 4.4215 Cu
```

No. 3
Entry from the Alexandria database: an optimized crystal structure of Mn2InCu (PBEsol).

POSCAR file:
```
Mn2InCu
1.0
3.0059 0.0000 0.0000
0.0000 3.0059 0.0000
0.0000 0.0000 6.1298
Mn In Cu
2 1 1
Cartesian
0.0000 0.0000 0.0000 Mn
1.5030 1.5030 1.1618 Mn
1.5030 1.5030 4.2851 In
0.0000 0.0000 2.5721 Cu
```

No. 4
Entry from the Alexandria database: an optimized crystal structure of Mn3InCu (PBEsol).

POSCAR file:
```
Mn3InCu
1.0
4.4567 0.0000 0.0000
0.0000 4.4567 0.0000
0.0000 0.0000 4.4567
Mn In Cu
3 1 1
Cartesian
0.0000 0.0000 2.2284 Mn
0.0000 2.2284 0.0000 Mn
2.2284 0.0000 0.0000 Mn
2.2284 2.2284 2.2284 In
0.0000 0.0000 0.0000 Cu
```

No. 5
Entry from the Alexandria database: an optimized crystal structure of MnIn2Cu (PBEsol).

POSCAR file:
```
MnIn2Cu
1.0
4.2440 0.0000 0.0000
0.0000 4.2440 0.0000
0.0000 0.0000 3.6431
Mn In Cu
1 2 1
Cartesian
0.0000 0.0000 0.0000 Mn
0.0000 2.1220 1.8215 In
2.1220 0.0000 1.8215 In
2.1220 2.1220 0.0000 Cu
```

No. 6
Entry from the Alexandria database: an optimized crystal structure of MnIn3Cu (PBEsol).

POSCAR file:
```
MnIn3Cu
1.0
4.9490 0.0000 0.0000
0.0000 4.9490 0.0000
0.0000 0.0000 4.9490
Mn In Cu
1 3 1
Cartesian
0.0000 0.0000 0.0000 Mn
0.0000 0.0000 2.4745 In
0.0000 2.4745 0.0000 In
2.4745 0.0000 0.0000 In
2.4745 2.4745 2.4745 Cu
```

| no. | energy of formation (eV per atom) |
| --- | --- |
| 1 | -0.028 |
| 2 | 0.400 |
| 3 | 0.184 |
| 4 | 0.920 |
| 5 | 0.167 |
| 6 | 0.686 |